HoZn2Pb PBE-GGA relaxed; ΔH_f (0 K) = -109 meV/atom; ρ = 9.1 Mg/m³; polymorph energy (0 for the lowest one) = 55.6 kJ/mol of formula units
1.0
2.299 1.327 5.019
-2.299 1.327 5.019
0.000 -2.654 5.019
Ho Zn Pb
1 2 1
Direct
0.000 0.000 0.000
0.242 0.242 0.242
0.758 0.758 0.758
0.500 0.500 0.500